## BeTlCr2Pt (GGA-PBE)

Data for an optimized crystal structure of BeTlCr2Pt.

a b c (Å): 5.1020 5.1020 5.0351
angles (deg): 90.00 90.00 90.00
Atoms (fractional coordinates):
Be1 0.0000 0.0000 0.0000
Tl1 0.5000 0.5000 0.5000
Cr1 0.0000 0.5000 0.5000
Cr2 0.5000 0.0000 0.5000
Pt1 0.5000 0.5000 0.0000

Computed properties:
E, eV/atom: -4.46
Fermi-level density of states, states/eV/cell: 3.35
Energy relative to the elements, meV/atom: 1813



## Y2BeCrPt6 (GGA-PBE)

Data for an optimized crystal structure of Y2BeCrPt6.

a b c (Å): 7.5108 7.5108 7.5108
angles (deg): 43.96 43.96 43.96
Atoms (fractional coordinates):
Y1 0.2075 0.2075 0.2075
Y2 0.7925 0.7925 0.7925
Be1 0.0000 0.0000 0.0000
Cr1 0.5000 0.5000 0.5000
Pt1 0.2405 0.2405 0.7298
Pt2 0.2405 0.7298 0.2405
Pt3 0.2702 0.7595 0.7595
Pt4 0.7298 0.2405 0.2405
Pt5 0.7595 0.2702 0.7595
Pt6 0.7595 0.7595 0.2702

Computed properties:
E, eV/atom: -6.94
Fermi-level density of states, states/eV/cell: 4.98
Energy relative to the elements, meV/atom: -691



## Be2ZnCrPt (GGA-PBE)

Data for an optimized crystal structure of Be2ZnCrPt.

a b c (Å): 4.1972 4.1972 4.7244
angles (deg): 90.00 90.00 90.00
Atoms (fractional coordinates):
Be1 0.0000 0.5000 0.0000
Be2 0.5000 0.0000 0.0000
Zn1 0.0000 0.0000 0.5000
Cr1 0.5000 0.5000 0.5000
Pt1 0.5000 0.5000 0.0000

Computed properties:
E, eV/atom: -4.16
Fermi-level density of states, states/eV/cell: 4.68
Energy relative to the elements, meV/atom: 716



Copy entry 3 word for word.
## Be2ZnCrPt (GGA-PBE)

Data for an optimized crystal structure of Be2ZnCrPt.

a b c (Å): 4.1972 4.1972 4.7244
angles (deg): 90.00 90.00 90.00
Atoms (fractional coordinates):
Be1 0.0000 0.5000 0.0000
Be2 0.5000 0.0000 0.0000
Zn1 0.0000 0.0000 0.5000
Cr1 0.5000 0.5000 0.5000
Pt1 0.5000 0.5000 0.0000

Computed properties:
E, eV/atom: -4.16
Fermi-level density of states, states/eV/cell: 4.68
Energy relative to the elements, meV/atom: 716



Question: Among the records above, which one has the highest energy relative to the elements?
Answer: BeTlCr2Pt